Entry from Alexandria via LeMat-Bulk: a geometry-optimized Ba2MoCO structure (GGA+U).

abc: 5.819 3.963 5.819
angles: 90.00 90.00 90.00
Positions (direct):
Mo (0.000, 0.000, 0.000)
Ba (0.000, 0.000, 0.500)
Ba (0.500, 0.000, 0.000)
O (0.500, 0.500, 0.500)
C (0.000, 0.500, 0.000)

- Energy: -4.410 eV per atom
- Magnetic moment: 0.201 μB per atom